The following is a PBE calculation of crystalline P2SeSO at its relaxed geometry, from Alexandria.

The structure in POSCAR format:
```
P2SeSO
1.0
4.730 0.000 0.000
0.000 4.730 0.000
0.000 0.000 3.480
P Se S O
2 1 1 1
Cartesian
0.000 2.365 0.000 P
2.365 0.000 0.000 P
0.000 0.000 1.740 Se
2.365 2.365 0.000 S
2.365 2.365 1.740 O
```

## Properties
**Energy above the lowest structure with this stoichiometry**: 0 meV per atom
**E_form (uncorrected)**: 51.79 kJ per mole of atoms
**Calculated density**: 4.0 g cm⁻³
**Electronic total energy**: -4.14 eV/atom

---

The following is a PBE calculation of crystalline Mn2Se at its relaxed geometry, from Alexandria.

The structure in POSCAR format:
```
Mn2Se
1.0
-1.852 1.852 12.920
1.852 -1.852 12.920
1.852 1.852 -12.920
Mn Se
8 4
Cartesian
1.852 0.926 -3.257 Mn
1.852 0.926 1.145 Mn
0.000 0.926 3.203 Mn
1.852 0.926 5.315 Mn
0.000 0.926 7.604 Mn
1.852 0.926 9.717 Mn
0.000 0.926 11.775 Mn
0.000 0.926 16.177 Mn
1.852 -0.926 7.923 Se
1.852 -0.926 11.457 Se
0.000 2.778 1.463 Se
0.000 2.778 4.997 Se
```

## Properties
**E_form (uncorrected)**: 9.53 kJ per mole of atoms
**Calculated density**: 7.1 g cm⁻³
**Electronic total energy**: -7.18 eV/atom

---

The following is a PBE calculation of crystalline CaLa2Br at its relaxed geometry, from Alexandria.

The structure in POSCAR format:
```
CaLa2Br
1.0
-1.842 3.187 5.954
1.842 -3.187 5.954
1.842 3.187 -5.954
Ca La Br
1 2 1
Cartesian
0.000 0.000 0.000 Ca
1.842 0.000 3.544 La
0.000 0.000 6.761 La
0.000 3.187 3.431 Br
```

## Properties
**E_form (uncorrected)**: -42.00 kJ per mole of atoms
**Calculated density**: 4.7 g cm⁻³
**Electronic total energy**: -3.82 eV/atom

---

The following is a PBE calculation of crystalline ZnSbW2 at its relaxed geometry, from Alexandria.

The structure in POSCAR format:
```
ZnSbW2
1.0
2.889 0.000 0.000
0.000 4.502 0.000
-0.627 0.000 5.383
Zn Sb W
1 1 2
Cartesian
0.000 0.000 0.000 Zn
1.131 0.000 2.692 Sb
0.376 2.251 4.167 W
1.885 2.251 1.216 W
```

## Properties
**Energy above the lowest structure with this stoichiometry**: 300 meV per atom
**E_form (uncorrected)**: 59.51 kJ per mole of atoms
**Calculated density**: 13.2 g cm⁻³
**Electronic total energy**: -7.21 eV/atom

---

The following is a PBE calculation of crystalline HoTmHgTe at its relaxed geometry, from Alexandria.

The structure in POSCAR format:
```
HoTmHgTe
1.0
2.047 1.182 7.791
-2.047 1.182 7.791
0.000 -2.363 7.791
Ho Tm Hg Te
1 1 1 1
Cartesian
0.000 0.000 0.000 Ho
0.000 0.000 11.757 Tm
0.000 0.000 5.859 Hg
0.000 0.000 17.581 Te
```

## Properties
**E_form (uncorrected)**: -79.59 kJ per mole of atoms
**Calculated density**: 9.7 g cm⁻³
**Electronic total energy**: -3.95 eV/atom

---

The following is a PBE calculation of crystalline VB3Pd at its relaxed geometry, from Alexandria.

The structure in POSCAR format:
```
VB3Pd
1.0
3.945 0.000 0.000
0.000 3.945 0.000
0.000 0.000 3.945
V B Pd
1 3 1
Cartesian
0.000 0.000 0.000 V
0.000 0.000 1.973 B
0.000 1.973 0.000 B
1.973 0.000 0.000 B
1.973 1.973 1.973 Pd
```

## Properties
**Energy of formation from the pure elements**: 1.31 eV per atom
**Calculated density**: 5.1 g cm⁻³
**Electronic total energy**: -5.56 eV/atom